Record 1
Computed, not measured: an optimized crystal structure of LuSc2Ag at the GGA-PBE level of DFT.

POSCAR file:
```
LuSc2Ag
1.0
4.768 0.000 0.000
0.000 4.420 0.000
0.000 0.000 4.420
Sc Lu Ag
2 1 1
direct
0.000 0.000 0.500
0.000 0.500 0.000
0.500 0.500 0.500
0.500 0.000 0.000
```

Computed properties:
offset from the most stable computed form	0.066	eV per atom
size of the total moment	0.246	μB per atom
formation enthalpy at 0 K	-0.1	eV/f.u.

***

Record 2
Computed, not measured: an optimized crystal structure of LuSc2Ag at the GGA-PBE level of DFT.

POSCAR file:
```
LuSc2Ag
1.0
3.344 0.000 0.000
0.000 3.344 0.000
0.000 0.000 8.499
Sc Lu Ag
2 1 1
direct
0.000 0.000 0.784
0.000 0.000 0.216
0.500 0.500 0.500
0.500 0.500 0.000
```

Computed properties:
offset from the most stable computed form	0.000	eV per atom
size of the total moment	0.000	μB per atom
formation enthalpy at 0 K	-0.3	eV/f.u.

***

Record 3
Computed, not measured: an optimized crystal structure of Lu2ScAg at the GGA-PBE level of DFT.

POSCAR file:
```
Lu2ScAg
1.0
-2.931 1.799 -1.660
-2.673 -0.399 4.287
1.846 4.452 1.566
Sc Lu Ag
1 2 1
direct
0.500 0.500 0.500
0.000 0.000 0.500
0.000 0.500 0.000
0.500 0.000 0.000
```

Computed properties:
offset from the most stable computed form	0.083	eV per atom
size of the total moment	0.000	μB per atom
formation enthalpy at 0 K	-0.2	eV/f.u.

***

Record 4
Computed, not measured: an optimized crystal structure of Lu2ScAg at the GGA-PBE level of DFT.

POSCAR file:
```
Lu2ScAg
1.0
-3.146 -0.843 -1.067
1.250 -0.735 -3.106
1.324 -8.023 2.433
Sc Lu Ag
1 2 1
direct
0.500 0.500 0.500
0.000 0.000 0.773
0.000 0.000 0.227
0.500 0.500 0.000
```

Computed properties:
offset from the most stable computed form	0.000	eV per atom
size of the total moment	0.000	μB per atom
formation enthalpy at 0 K	-0.5	eV/f.u.

***

Record 5
Computed, not measured: an optimized crystal structure of LuScAgSn at the GGA-PBE level of DFT.

POSCAR file:
```
LuScAgSn
1.0
5.036 0.000 0.000
2.518 4.362 0.000
2.518 1.454 4.112
Sc Lu Sn Ag
1 1 1 1
direct
0.500 0.500 0.500
0.000 0.000 0.000
0.750 0.750 0.750
0.250 0.250 0.250
```

Computed properties:
size of the total moment	0.165	μB per atom
formation enthalpy at 0 K	-1.8	eV/f.u.

***

Record 6
Computed, not measured: an optimized crystal structure of LuScTcAg at the GGA-PBE level of DFT.

POSCAR file:
```
LuScTcAg
1.0
-4.493 -0.862 -1.392
-2.852 -2.739 2.688
-3.657 1.964 2.374
Sc Lu Tc Ag
1 1 1 1
direct
0.250 0.250 0.250
0.750 0.750 0.750
0.500 0.500 0.500
0.000 0.000 0.000
```

Computed properties:
size of the total moment	0.000	μB per atom
formation enthalpy at 0 K	-0.8	eV/f.u.

***

Record 7
Computed, not measured: an optimized crystal structure of LuScTlAg at the GGA-PBE level of DFT.

POSCAR file:
```
LuScTlAg
1.0
5.070 0.000 0.000
2.535 4.391 0.000
2.535 1.464 4.140
Sc Tl Lu Ag
1 1 1 1
direct
0.500 0.500 0.500
0.750 0.750 0.750
0.000 0.000 0.000
0.250 0.250 0.250
```

Computed properties:
size of the total moment	0.000	μB per atom
formation enthalpy at 0 K	-1.2	eV/f.u.

***

Record 8
Computed, not measured: an optimized crystal structure of TmLuScAg at the GGA-PBE level of DFT.

POSCAR file:
```
TmLuScAg
1.0
5.194 0.000 0.000
2.597 4.498 0.000
2.597 1.499 4.241
Sc Lu Tm Ag
1 1 1 1
direct
0.750 0.750 0.750
0.000 0.000 0.000
0.500 0.500 0.500
0.250 0.250 0.250
```

Computed properties:
size of the total moment	0.000	μB per atom
formation enthalpy at 0 K	0.1	eV/f.u.

***

Record 9
Computed, not measured: an optimized crystal structure of LuScZnAg at the GGA-PBE level of DFT.

POSCAR file:
```
LuScZnAg
1.0
4.905 0.000 0.000
2.452 4.247 0.000
2.452 1.416 4.005
Sc Zn Lu Ag
1 1 1 1
direct
0.500 0.500 0.500
0.750 0.750 0.750
0.000 0.000 0.000
0.250 0.250 0.250
```

Computed properties:
size of the total moment	0.000	μB per atom
formation enthalpy at 0 K	-1.3	eV/f.u.

***

Record 10
Computed, not measured: an optimized crystal structure of LuAgSe2 at the GGA-PBE level of DFT.

POSCAR file:
```
LuAgSe2
1.0
4.189 0.000 0.000
0.000 6.812 0.000
0.000 0.000 13.620
Lu Ag Se
4 4 8
direct
0.280 0.710 0.628
0.780 0.790 0.372
0.720 0.210 0.872
0.220 0.290 0.128
0.512 0.709 0.875
0.012 0.791 0.125
0.488 0.209 0.625
0.988 0.291 0.375
0.779 0.915 0.726
0.279 0.585 0.274
0.221 0.415 0.774
0.721 0.085 0.226
0.774 0.517 0.528
0.274 0.983 0.472
0.226 0.017 0.972
0.726 0.483 0.028
```

Computed properties:
size of the total moment	0.000	μB per atom
energy relative to the elements, uncorrected	-1.179	eV per atom

***

Record 11
Computed, not measured: an optimized crystal structure of Lu2AgSe at the GGA-PBE level of DFT.

POSCAR file:
```
Lu2AgSe
1.0
3.578 0.000 0.000
1.789 3.099 0.000
1.789 1.033 9.577
Lu Se Ag
2 1 1
direct
0.101 0.101 0.696
0.899 0.899 0.304
0.500 0.500 0.500
0.000 0.000 0.000
```

Computed properties:
size of the total moment	0.000	μB per atom
energy relative to the elements, uncorrected	-0.406	eV per atom

***

Record 12
Computed, not measured: an optimized crystal structure of Lu2SiAg at the GGA-PBE level of DFT.

POSCAR file:
```
Lu2SiAg
1.0
-0.094 2.068 -2.819
-3.362 -0.827 -0.495
-1.926 5.413 4.036
Si Lu Ag
1 2 1
direct
0.500 0.500 0.000
0.000 0.000 0.761
0.000 0.000 0.239
0.500 0.500 0.500
```

Computed properties:
size of the total moment	0.000	μB per atom
energy relative to the elements, uncorrected	-0.435	eV per atom

***

Record 13
Computed, not measured: an optimized crystal structure of LuSiAg at the GGA-PBE level of DFT.

POSCAR file:
```
LuSiAg
1.0
-2.917 1.498 1.096
-2.021 -3.908 -0.039
2.068 1.371 3.633
Si Lu Ag
1 1 1
direct
0.167 0.000 0.000
0.667 0.333 0.667
0.167 0.667 0.333
```

Computed properties:
size of the total moment	0.000	μB per atom
energy relative to the elements, uncorrected	-0.453	eV per atom

***

Record 14
Computed, not measured: an optimized crystal structure of LuSiAg at the GGA-PBE level of DFT.

POSCAR file:
```
LuSiAg
1.0
-3.197 2.231 5.756
-0.822 -6.574 -2.107
3.274 -1.133 2.257
Lu Si Ag
3 3 3
direct
0.419 0.419 0.500
0.581 0.000 0.500
0.000 0.581 0.500
0.667 0.333 0.000
0.333 0.667 0.000
0.000 0.000 0.500
0.748 0.748 0.000
0.252 0.000 0.000
0.000 0.252 0.000
```

Computed properties:
size of the total moment	0.000	μB per atom
energy relative to the elements, uncorrected	-0.568	eV per atom

***

Record 15
Computed, not measured: an optimized crystal structure of YLuSiAg at the GGA-PBE level of DFT.

POSCAR file:
```
YLuSiAg
1.0
5.001 0.000 0.000
2.500 4.331 0.000
2.500 1.444 4.083
Y Si Lu Ag
1 1 1 1
direct
0.750 0.750 0.750
0.000 0.000 0.000
0.250 0.250 0.250
0.500 0.500 0.500
```

Computed properties:
size of the total moment	0.000	μB per atom
energy relative to the elements, uncorrected	-0.436	eV per atom